Entry from the Open Quantum Materials Database: crystalline YAl2ZnPt at its relaxed geometry (GGA-PBE).

POSCAR file:
```
YAl2ZnPt
1.0
-0.363 0.185 6.230
-0.559 5.244 3.342
-2.442 -2.921 -4.949
Y Al Pt Zn
1 2 1 1
Direct
0.994 0.994 0.000
0.748 0.248 0.500
0.248 0.748 0.500
0.619 0.619 0.000
0.391 0.391 0.000
```

The calculation puts the magnetization at 0.0 μB/f.u. The symmetry is I4mm. For the total DFT energy (no corrections), the calculation gives -5.027 eV per atom.